[1]
# Lu4CuPC2

A relaxed Lu4CuPC2 crystal (PBE-GGA, OQMD).

Cell lengths 3.610, 3.610, 13.082 Å; angles 90.00, 90.00, 120.00 degrees
Fractional coordinates of all 8 atoms:
Lu  0.000  0.000  0.139
Lu  0.000  0.000  0.861
Lu  0.333  0.667  0.339
Lu  0.333  0.667  0.661
Cu  0.000  0.000  0.500
P  0.333  0.667  0.000
C  0.667  0.333  0.250
C  0.667  0.333  0.750

- SG: No. 187
- Density: 9.20 g/cm3

---

[2]
# Lu4CuPC2

A relaxed Lu4CuPC2 crystal (PBE-GGA, OQMD).

Cell lengths 3.603, 3.603, 13.061 Å; angles 90.00, 90.00, 120.00 degrees
Fractional coordinates of all 8 atoms:
Lu  0.000  0.000  0.139
Lu  0.000  0.000  0.861
Lu  0.667  0.333  0.339
Lu  0.667  0.333  0.661
Cu  0.000  0.000  0.500
P  0.667  0.333  0.000
C  0.333  0.667  0.249
C  0.333  0.667  0.751

- SG: No. 187
- Density: 9.25 g/cm3

---

no.,calculated total energy (eV per cell)
1,-50.008
2,-50.007